Computed, not measured: crystalline Ta3Fe at its relaxed geometry at the PBE-GGA level of DFT.

Results
Total moment, μB per atom: 0.176
E, Ha/atom: -0.393
Formation energy, kJ per mole of atoms: 26

```
data_Ta3Fe
_symmetry_space_group_name_H-M 'P 1'
_symmetry_Int_Tables_number 1
_cell_length_a 5.607
_cell_length_b 5.607
_cell_length_c 4.857
_cell_angle_alpha 90.00
_cell_angle_beta 90.00
_cell_angle_gamma 120.00
loop_
_symmetry_equiv_pos_as_xyz
'x,y,z'
loop_
_atom_site_label
_atom_site_type_symbol
_atom_site_fract_x
_atom_site_fract_y
_atom_site_fract_z
Ta1 Ta 0.342 0.171 0.750
Fe1 Fe 0.667 0.333 0.250
Ta2 Ta 0.171 0.829 0.250
Ta3 Ta 0.171 0.342 0.250
Ta4 Ta 0.829 0.658 0.750
Ta5 Ta 0.658 0.829 0.250
Ta6 Ta 0.829 0.171 0.750
Fe2 Fe 0.333 0.667 0.750
```

***

Computed, not measured: crystalline Zn2Bi2O5 at its relaxed geometry at the PBE-GGA level of DFT.

Results
E, Ha/atom: -0.180

```
data_Zn2Bi2O5
_symmetry_space_group_name_H-M 'P 1'
_symmetry_Int_Tables_number 1
_cell_length_a 7.390
_cell_length_b 3.962
_cell_length_c 3.962
_cell_angle_alpha 90.00
_cell_angle_beta 90.00
_cell_angle_gamma 90.00
loop_
_symmetry_equiv_pos_as_xyz
'x,y,z'
loop_
_atom_site_label
_atom_site_type_symbol
_atom_site_fract_x
_atom_site_fract_y
_atom_site_fract_z
O1 O 0.797 0.500 0.000
O2 O 0.203 0.000 0.500
O3 O 0.203 0.500 0.000
Zn1 Zn 0.237 0.500 0.500
Zn2 Zn 0.763 0.500 0.500
O4 O 0.500 0.500 0.500
Bi1 Bi 0.500 0.000 0.000
O5 O 0.797 0.000 0.500
Bi2 Bi 0.000 0.000 0.000
```

***

Computed, not measured: crystalline Cu2Ag3 at its relaxed geometry at the PBE-GGA level of DFT.

Results
E, Ha/atom: -0.114
Formation energy, kJ per mole of atoms: 9
Offset from the most stable computed form, eV/f.u.: 0.30

```
data_Cu2Ag3
_symmetry_space_group_name_H-M 'P 1'
_symmetry_Int_Tables_number 1
_cell_length_a 10.136
_cell_length_b 10.136
_cell_length_c 4.027
_cell_angle_alpha 90.00
_cell_angle_beta 90.00
_cell_angle_gamma 157.87
loop_
_symmetry_equiv_pos_as_xyz
'x,y,z'
loop_
_atom_site_label
_atom_site_type_symbol
_atom_site_fract_x
_atom_site_fract_y
_atom_site_fract_z
Ag1 Ag 0.249 0.751 0.250
Ag2 Ag 0.145 0.855 0.750
Ag3 Ag 0.048 0.952 0.250
Ag4 Ag 0.751 0.249 0.750
Cu1 Cu 0.549 0.451 0.750
Ag5 Ag 0.855 0.145 0.250
Cu2 Cu 0.354 0.646 0.750
Cu3 Cu 0.451 0.549 0.250
Cu4 Cu 0.646 0.354 0.250
Ag6 Ag 0.952 0.048 0.750
```

***

Computed, not measured: crystalline Li3Hg at its relaxed geometry at the PBE-GGA level of DFT.

Results
E, Ha/atom: -0.066
Offset from the most stable computed form, eV/f.u.: 0.00

```
data_Li3Hg
_symmetry_space_group_name_H-M 'P 1'
_symmetry_Int_Tables_number 1
_cell_length_a 4.705
_cell_length_b 5.840
_cell_length_c 4.903
_cell_angle_alpha 90.00
_cell_angle_beta 90.00
_cell_angle_gamma 90.00
loop_
_symmetry_equiv_pos_as_xyz
'x,y,z'
loop_
_atom_site_label
_atom_site_type_symbol
_atom_site_fract_x
_atom_site_fract_y
_atom_site_fract_z
Li1 Li 0.000 0.500 0.338
Hg1 Hg 0.000 0.000 0.311
Li2 Li 0.500 0.252 0.182
Li3 Li 0.000 0.752 0.818
Hg2 Hg 0.500 0.500 0.689
Li4 Li 0.500 0.000 0.662
Li5 Li 0.000 0.248 0.818
Li6 Li 0.500 0.748 0.182
```

***

Computed, not measured: crystalline ZnGeW4C2 at its relaxed geometry at the PBE-GGA level of DFT.

Results
Total moment, μB per atom: 0.000
E, Ha/atom: -0.344

```
data_ZnGeW4C2
_symmetry_space_group_name_H-M 'P 1'
_symmetry_Int_Tables_number 1
_cell_length_a 3.089
_cell_length_b 3.089
_cell_length_c 13.041
_cell_angle_alpha 90.00
_cell_angle_beta 90.00
_cell_angle_gamma 120.00
loop_
_symmetry_equiv_pos_as_xyz
'x,y,z'
loop_
_atom_site_label
_atom_site_type_symbol
_atom_site_fract_x
_atom_site_fract_y
_atom_site_fract_z
W1 W 0.667 0.333 0.155
W2 W 0.000 0.000 0.334
C1 C 0.333 0.667 0.247
Ge1 Ge 0.000 0.000 0.000
C2 C 0.333 0.667 0.753
W3 W 0.000 0.000 0.666
W4 W 0.667 0.333 0.845
Zn1 Zn 0.667 0.333 0.500
```

***

Computed, not measured: crystalline PbAu2O4 at its relaxed geometry at the PBE-GGA level of DFT.

Results
E, Ha/atom: -0.175

```
data_PbAu2O4
_symmetry_space_group_name_H-M 'P 1'
_symmetry_Int_Tables_number 1
_cell_length_a 6.811
_cell_length_b 6.811
_cell_length_c 6.811
_cell_angle_alpha 125.27
_cell_angle_beta 125.27
_cell_angle_gamma 81.09
loop_
_symmetry_equiv_pos_as_xyz
'x,y,z'
loop_
_atom_site_label
_atom_site_type_symbol
_atom_site_fract_x
_atom_site_fract_y
_atom_site_fract_z
Pb1 Pb 0.000 0.000 0.000
Au1 Au 0.875 0.625 0.250
O1 O 0.398 0.831 0.132
Pb2 Pb 0.750 0.250 0.500
O2 O 0.169 0.301 0.567
O3 O 0.352 0.419 0.368
Au2 Au 0.375 0.125 0.750
O4 O 0.734 0.602 0.433
Au3 Au 0.375 0.625 0.750
O5 O 0.699 0.266 0.868
O6 O 0.051 0.984 0.632
Au4 Au 0.375 0.625 0.250
O7 O 0.016 0.648 0.067
O8 O 0.581 0.949 0.933
```

***

Computed, not measured: crystalline Y3Ge13Os4 at its relaxed geometry at the PBE-GGA level of DFT.

Results
Total moment, μB per atom: 0.000
E, Ha/atom: -0.241

```
data_Y3Ge13Os4
_symmetry_space_group_name_H-M 'P 1'
_symmetry_Int_Tables_number 1
_cell_length_a 9.066
_cell_length_b 9.066
_cell_length_c 9.066
_cell_angle_alpha 90.00
_cell_angle_beta 90.00
_cell_angle_gamma 90.00
loop_
_symmetry_equiv_pos_as_xyz
'x,y,z'
loop_
_atom_site_label
_atom_site_type_symbol
_atom_site_fract_x
_atom_site_fract_y
_atom_site_fract_z
Ge1 Ge 0.145 0.702 0.000
Ge2 Ge 0.798 0.355 0.500
Ge3 Ge 0.298 0.000 0.855
Ge4 Ge 0.000 0.145 0.298
Y1 Y 0.500 0.250 0.000
Os1 Os 0.750 0.750 0.750
Ge5 Ge 0.645 0.500 0.202
Ge6 Ge 0.298 0.000 0.145
Ge7 Ge 0.000 0.855 0.298
Y2 Y 0.000 0.500 0.250
Ge8 Ge 0.500 0.202 0.355
Os2 Os 0.250 0.250 0.250
Ge9 Ge 0.000 0.145 0.702
Os3 Os 0.750 0.250 0.250
Y3 Y 0.750 0.000 0.500
Ge10 Ge 0.500 0.202 0.645
Os4 Os 0.750 0.750 0.250
Os5 Os 0.250 0.750 0.250
Ge11 Ge 0.855 0.298 0.000
Y4 Y 0.500 0.750 0.000
Ge12 Ge 0.702 0.000 0.145
Ge13 Ge 0.798 0.645 0.500
Ge14 Ge 0.000 0.000 0.000
Ge15 Ge 0.355 0.500 0.202
Ge16 Ge 0.355 0.500 0.798
Ge17 Ge 0.500 0.798 0.355
Ge18 Ge 0.702 0.000 0.855
Ge19 Ge 0.500 0.798 0.645
Ge20 Ge 0.500 0.500 0.500
Os6 Os 0.250 0.250 0.750
Os7 Os 0.750 0.250 0.750
Os8 Os 0.250 0.750 0.750
Ge21 Ge 0.145 0.298 0.000
Ge22 Ge 0.855 0.702 0.000
Ge23 Ge 0.202 0.355 0.500
Ge24 Ge 0.000 0.855 0.702
Y5 Y 0.000 0.500 0.750
Y6 Y 0.250 0.000 0.500
Ge25 Ge 0.645 0.500 0.798
Ge26 Ge 0.202 0.645 0.500
```

***

Computed, not measured: crystalline RbTaNi at its relaxed geometry at the PBE-GGA level of DFT.

Results
Total moment, μB per atom: 0.526
E, Ha/atom: -0.154
Offset from the most stable computed form, eV/f.u.: 0.00

```
data_RbTaNi
_symmetry_space_group_name_H-M 'P 1'
_symmetry_Int_Tables_number 1
_cell_length_a 4.717
_cell_length_b 4.717
_cell_length_c 4.717
_cell_angle_alpha 60.00
_cell_angle_beta 60.00
_cell_angle_gamma 60.00
loop_
_symmetry_equiv_pos_as_xyz
'x,y,z'
loop_
_atom_site_label
_atom_site_type_symbol
_atom_site_fract_x
_atom_site_fract_y
_atom_site_fract_z
Rb1 Rb 0.250 0.250 0.250
Ta1 Ta 0.750 0.750 0.750
Ni1 Ni 0.000 0.000 0.000
```

***

Computed, not measured: crystalline Tb2Si4NiPt at its relaxed geometry at the PBE-GGA level of DFT.

Results
Total moment, μB per atom: 0.000
E, Ha/atom: -0.229

```
data_Tb2Si4NiPt
_symmetry_space_group_name_H-M 'P 1'
_symmetry_Int_Tables_number 1
_cell_length_a 4.077
_cell_length_b 8.614
_cell_length_c 8.614
_cell_angle_alpha 27.30
_cell_angle_beta 90.00
_cell_angle_gamma 90.00
loop_
_symmetry_equiv_pos_as_xyz
'x,y,z'
loop_
_atom_site_label
_atom_site_type_symbol
_atom_site_fract_x
_atom_site_fract_y
_atom_site_fract_z
Tb1 Tb 0.500 0.100 0.100
Pt1 Pt 0.000 0.676 0.676
Si1 Si 0.500 0.459 0.459
Si2 Si 0.500 0.756 0.756
Tb2 Tb 0.000 0.895 0.895
Ni1 Ni 0.500 0.324 0.324
Si3 Si 0.000 0.534 0.534
Si4 Si 0.000 0.257 0.257
```

***

Computed, not measured: crystalline DyErAl4Pd2 at its relaxed geometry at the PBE-GGA level of DFT.

Results
Total moment, μB per atom: 0.003
E, Ha/atom: -0.188

```
data_DyErAl4Pd2
_symmetry_space_group_name_H-M 'P 1'
_symmetry_Int_Tables_number 1
_cell_length_a 6.953
_cell_length_b 5.514
_cell_length_c 5.514
_cell_angle_alpha 45.76
_cell_angle_beta 90.00
_cell_angle_gamma 90.00
loop_
_symmetry_equiv_pos_as_xyz
'x,y,z'
loop_
_atom_site_label
_atom_site_type_symbol
_atom_site_fract_x
_atom_site_fract_y
_atom_site_fract_z
Al1 Al 0.696 0.859 0.859
Er1 Er 0.500 0.572 0.572
Al2 Al 0.304 0.859 0.859
Dy1 Dy 0.000 0.428 0.428
Pd1 Pd 0.000 0.711 0.711
Al3 Al 0.803 0.141 0.141
Al4 Al 0.197 0.141 0.141
Pd2 Pd 0.500 0.290 0.290
```

***

Computed, not measured: crystalline Ba2NiGeS6 at its relaxed geometry at the PBE-GGA level of DFT.

Results
Total moment, μB per atom: 0.001
E, Ha/atom: -0.172

```
data_Ba2NiGeS6
_symmetry_space_group_name_H-M 'P 1'
_symmetry_Int_Tables_number 1
_cell_length_a 6.778
_cell_length_b 6.778
_cell_length_c 6.778
_cell_angle_alpha 120.00
_cell_angle_beta 120.00
_cell_angle_gamma 60.00
loop_
_symmetry_equiv_pos_as_xyz
'x,y,z'
loop_
_atom_site_label
_atom_site_type_symbol
_atom_site_fract_x
_atom_site_fract_y
_atom_site_fract_z
S1 S 0.742 0.258 0.258
S2 S 0.258 0.258 0.258
S3 S 0.258 0.742 0.742
S4 S 0.742 0.742 0.742
Ba1 Ba 0.250 0.250 0.750
Ni1 Ni 0.500 0.500 0.500
S5 S 0.742 0.258 0.742
Ge1 Ge 0.000 0.000 0.000
S6 S 0.258 0.742 0.258
Ba2 Ba 0.750 0.750 0.250
```

***

Computed, not measured: crystalline PuHfTc at its relaxed geometry at the PBE-GGA level of DFT.

Results
Total moment, μB per atom: 1.564
E, Ha/atom: -0.398
Formation energy, kJ per mole of atoms: 62
Offset from the most stable computed form, eV/f.u.: 0.00

```
data_PuHfTc
_symmetry_space_group_name_H-M 'P 1'
_symmetry_Int_Tables_number 1
_cell_length_a 4.455
_cell_length_b 4.455
_cell_length_c 4.455
_cell_angle_alpha 60.00
_cell_angle_beta 60.00
_cell_angle_gamma 60.00
loop_
_symmetry_equiv_pos_as_xyz
'x,y,z'
loop_
_atom_site_label
_atom_site_type_symbol
_atom_site_fract_x
_atom_site_fract_y
_atom_site_fract_z
Pu1 Pu 0.250 0.250 0.250
Tc1 Tc 0.750 0.750 0.750
Hf1 Hf 0.000 0.000 0.000
```